A relaxed CuTeCl crystal. Source: Alexandria, functional PBE.

Raw formation energy = 0.023 eV per atom
Total moment = 0.000 μB per cell
Space group = I4mm
E_tot = -0.11045 Ha/atom

POSCAR file:
```
CuTeCl
1.0
-2.9467 -3.1272 6.0568
1.1957 -4.7445 5.5864
1.6710 5.6094 -4.5705
Te Cu Cl
1 1 1
direct
0.2974 0.2974 0.0000
0.6460 0.6460 0.0000
0.0565 0.0565 0.0000
```